Entry 1:
{
  "formula": "LaYMn2Pd",
  "functional": "GGA-PBEsol",
  "state": "relaxed",
  "lattice": [[-4.814, -0.870, 1.017], [-0.391, -2.718, -4.174], [1.324, -4.242, 2.638]],
  "species": ["Mn", "Mn", "Y", "Pd", "La"],
  "frac_coords": [[0.000, 0.500, 0.000], [0.500, 0.000, 0.000], [0.500, 0.500, 0.500], [0.000, 0.000, 0.000], [0.000, 0.000, 0.500]],
  "sg": "P4/mmm",
  "total_magnetization_mub_per_fu": 7.865,
  "formation_energy_ev_per_atom": 0.54
}


Entry 2:
{
  "formula": "Li3Mn2F9",
  "functional": "GGA-PBEsol",
  "state": "relaxed",
  "lattice": [[5.235, -0.053, 0.100], [-2.549, 4.581, 0.047], [-0.535, -0.739, 15.290]],
  "species": ["Li", "Li", "Li", "Li", "Li", "Li", "F", "F", "F", "F", "F", "F", "F", "F", "F", "F", "F", "F", "F", "F", "F", "F", "F", "F", "Mn", "Mn", "Mn", "Mn"],
  "frac_coords": [[0.504, 0.227, 0.945], [0.636, 0.828, 0.248], [0.326, 0.134, 0.748], [0.257, 0.025, 0.555], [0.525, 0.758, 0.055], [0.729, 0.006, 0.445], [0.896, 0.044, 0.742], [0.655, 0.522, 0.784], [0.554, 0.932, 0.554], [0.902, 0.726, 0.596], [0.820, 0.179, 0.908], [0.360, 0.325, 0.636], [0.683, 0.321, 0.408], [0.826, 0.862, 0.136], [0.496, 0.717, 0.365], [0.548, 0.399, 0.242], [0.227, 0.405, 0.097], [0.289, 0.848, 0.214], [0.431, 0.055, 0.054], [0.136, 0.119, 0.448], [0.026, 0.158, 0.283], [0.617, 0.634, 0.948], [0.215, 0.993, 0.865], [0.345, 0.787, 0.713], [0.787, 0.859, 0.852], [0.238, 0.113, 0.153], [0.610, 0.737, 0.653], [0.362, 0.289, 0.352]],
  "sg": "P1",
  "e_form_raw_ev_per_atom": -2.592,
  "total_magnetization_mub_per_fu": 8.000
}


Entry 3:
{
  "formula": "HfTlSb2",
  "functional": "GGA-PBEsol",
  "state": "relaxed",
  "lattice": [[-5.093, -4.190, -0.761], [2.793, -2.391, -5.529], [4.352, -1.251, 6.726]],
  "species": ["Sb", "Sb", "Sb", "Sb", "Tl", "Tl", "Hf", "Hf"],
  "frac_coords": [[0.125, 0.154, 0.750], [0.846, 0.375, 0.250], [0.404, 0.875, 0.250], [0.625, 0.596, 0.750], [0.000, 0.000, 0.000], [0.250, 0.750, 0.500], [0.750, 0.250, 0.500], [0.500, 0.500, 0.000]],
  "sg": "I-42d",
  "e_form_raw_ev_per_atom": 0.226,
  "total_magnetization_mub_per_fu": 0.000
}


Entry 4:
{
  "formula": "BeHg2Te",
  "functional": "GGA-PBEsol",
  "state": "relaxed",
  "lattice": [[-0.526, -0.776, -3.594], [-4.532, -3.069, -0.593], [-3.987, 3.208, -2.028]],
  "species": ["Hg", "Hg", "Be", "Te"],
  "frac_coords": [[0.741, 0.759, 0.759], [0.961, 0.039, 0.039], [0.241, 0.259, 0.259], [0.557, 0.443, 0.443]],
  "sg": "Imm2",
  "e_form_raw_ev_per_atom": 0.242,
  "total_magnetization_mub_per_fu": 0.000
}


Entry 5:
{
  "formula": "CrPt2",
  "functional": "GGA-PBEsol",
  "state": "relaxed",
  "lattice": [[3.748, 0.000, 0.000], [0.000, 3.870, 0.000], [-1.874, 0.000, 5.829]],
  "species": ["Pt", "Pt", "Pt", "Pt", "Cr", "Cr"],
  "frac_coords": [[0.748, 0.250, 0.496], [0.252, 0.750, 0.504], [0.577, 0.750, 0.155], [0.423, 0.250, 0.845], [0.912, 0.750, 0.825], [0.088, 0.250, 0.175]],
  "sg": "Cmcm",
  "total_magnetization_mub_per_fu": 2.325,
  "formation_energy_ev_per_atom": -0.17
}


Entry 6:
{
  "formula": "CaYW",
  "functional": "GGA-PBEsol",
  "state": "relaxed",
  "lattice": [[-2.923, -0.695, 0.628], [1.418, -1.909, 1.940], [0.626, 6.833, 4.251]],
  "species": ["Y", "Ca", "W"],
  "frac_coords": [[0.308, 0.308, 0.616], [0.021, 0.021, 0.041], [0.671, 0.671, 0.342]],
  "sg": "Fmm2",
  "total_magnetization_mub_per_fu": 0.000,
  "formation_energy_ev_per_atom": 0.70
}


Entry 7:
{
  "formula": "Ta2MoPb",
  "functional": "GGA-PBEsol",
  "state": "relaxed",
  "lattice": [[-1.109, -0.489, 3.243], [1.969, -4.141, 0.050], [3.413, 4.161, -0.054]],
  "species": ["Ta", "Ta", "Pb", "Mo"],
  "frac_coords": [[0.233, 0.233, 0.467], [0.767, 0.767, 0.533], [0.000, 0.500, 0.000], [0.500, 0.000, 0.000]],
  "sg": "Immm",
  "total_magnetization_mub_per_fu": 0.000,
  "formation_energy_ev_per_atom": 0.25
}


Entry 8:
{
  "formula": "Sr2LiRh",
  "functional": "GGA-PBEsol",
  "state": "relaxed",
  "lattice": [[-3.644, 3.639, 1.037], [-4.794, -1.458, 1.579], [-1.510, 0.868, 4.956]],
  "species": ["Li", "Sr", "Sr", "Rh"],
  "frac_coords": [[0.000, 0.000, 0.000], [0.750, 0.750, 0.750], [0.250, 0.250, 0.250], [0.500, 0.500, 0.500]],
  "sg": "Fm-3m",
  "total_magnetization_mub_per_fu": 0.000,
  "formation_energy_ev_per_atom": -0.04
}


Entry 9:
{
  "formula": "CaIr",
  "functional": "GGA-PBEsol",
  "state": "relaxed",
  "lattice": [[-1.077, 1.994, -2.025], [-0.770, -0.932, -2.788], [-9.993, -1.464, 1.592]],
  "species": ["Ir", "Ir", "Ca", "Ca"],
  "frac_coords": [[0.633, 0.633, 0.100], [0.367, 0.367, 0.900], [0.890, 0.890, 0.329], [0.110, 0.110, 0.671]],
  "sg": "R-3m",
  "total_magnetization_mub_per_fu": 0.000,
  "formation_energy_ev_per_atom": 0.54
}


Entry 10:
{
  "formula": "AlNiPt2",
  "functional": "GGA-PBEsol",
  "state": "relaxed",
  "lattice": [[-1.236, 2.245, -1.045], [-1.838, -2.035, -2.199], [-4.001, -0.451, 3.763]],
  "species": ["Pt", "Pt", "Al", "Ni"],
  "frac_coords": [[0.000, 0.000, 0.747], [0.000, 0.000, 0.253], [0.500, 0.500, 0.000], [0.500, 0.500, 0.500]],
  "sg": "Pmmm",
  "total_magnetization_mub_per_fu": 0.442,
  "formation_energy_ev_per_atom": -0.61
}


Entry 11:
{
  "formula": "SrCoTe2",
  "functional": "GGA-PBEsol",
  "state": "relaxed",
  "lattice": [[3.836, 0.000, 0.000], [1.918, 3.322, 0.000], [1.918, 1.107, 9.144]],
  "species": ["Te", "Te", "Co", "Sr"],
  "frac_coords": [[0.120, 0.120, 0.640], [0.880, 0.880, 0.360], [0.500, 0.500, 0.500], [0.000, 0.000, 0.000]],
  "sg": "R-3m",
  "e_form_raw_ev_per_atom": -0.216,
  "total_magnetization_mub_per_fu": 0.454
}


Entry 12:
{
  "formula": "CuRe2P",
  "functional": "GGA-PBEsol",
  "state": "relaxed",
  "lattice": [[2.786, 0.000, 0.000], [1.393, 2.413, 0.000], [1.393, 0.804, 7.946]],
  "species": ["Re", "Re", "Cu", "P"],
  "frac_coords": [[0.256, 0.256, 0.232], [0.744, 0.744, 0.768], [0.500, 0.500, 0.500], [0.000, 0.000, 0.000]],
  "sg": "R-3m",
  "total_magnetization_mub_per_fu": 0.000,
  "formation_energy_ev_per_atom": 0.15
}


Energy / eV per atom: -6.99; -5.65; -5.34; -1.92; -8.22; -6.89; -9.97; -3.48; -5.43; -6.65; -4.37; -9.05